A relaxed structure of LaAlSCl2, computed with PBE-GGA.

Output
The calculation puts the raw total energy at -21.7 eV for the cell shown. Its theoretical density is 3.9 g cm⁻³. The calculation puts the energy relative to the elements, uncorrected at -1046 meV per atom. As for the space group: P4/mmm (123).

The structure in POSCAR format:
```
LaAlSCl2
1.0
4.8410 0.0000 0.0000
0.0000 4.8410 0.0000
0.0000 0.0000 4.8590
La Al S Cl
1 1 1 2
direct
0.0000 0.0000 0.0000
0.5000 0.5000 0.5000
0.5000 0.5000 0.0000
0.0000 0.5000 0.5000
0.5000 0.0000 0.5000
```

---

A relaxed structure of NdDy9Er2, computed with PBE-GGA.

Output
The calculation puts the raw total energy at -55.0 eV for the cell shown. As for the formation energy: 22.0 meV/atom. Its theoretical density is 8.5 g cm⁻³. As for the space group: P4/mmm (123).

The structure in POSCAR format:
```
NdDy9Er2
1.0
5.0169 0.0000 0.0000
0.0000 5.0169 0.0000
0.0000 0.0000 15.0518
Nd Dy Er
1 9 2
direct
0.0000 0.0000 0.0000
0.0000 0.5000 0.1692
0.0000 0.5000 0.5000
0.0000 0.5000 0.8308
0.5000 0.0000 0.1692
0.5000 0.0000 0.5000
0.5000 0.0000 0.8308
0.5000 0.5000 0.0000
0.5000 0.5000 0.3352
0.5000 0.5000 0.6648
0.0000 0.0000 0.3345
0.0000 0.0000 0.6655
```

---

A relaxed structure of Dy2BiS2, computed with PBE-GGA.

Output
The calculation puts the raw total energy at -85.7 eV for the cell shown. Its theoretical density is 6.2 g cm⁻³. The calculation puts the energy relative to the elements, uncorrected at -1443 meV per atom. As for the space group: R-3m (166).

The structure in POSCAR format:
```
Dy2BiS2
1.0
4.0601 0.0000 0.0000
-2.0300 3.5161 0.0000
0.0000 0.0000 33.5251
Dy Bi S
6 3 6
direct
0.0000 0.0000 0.0948
0.0000 0.0000 0.9052
0.3333 0.6667 0.5719
0.3333 0.6667 0.7614
0.6667 0.3333 0.2386
0.6667 0.3333 0.4281
0.0000 0.0000 0.5000
0.3333 0.6667 0.1667
0.6667 0.3333 0.8333
0.0000 0.0000 0.2737
0.0000 0.0000 0.7263
0.3333 0.6667 0.3929
0.3333 0.6667 0.9404
0.6667 0.3333 0.0596
0.6667 0.3333 0.6071
```

---

A relaxed structure of PrDyLuMg, computed with PBE-GGA.

Output
The calculation puts the raw total energy at -61.7 eV for the cell shown. As for the formation energy: 16.9 meV/atom. Its theoretical density is 7.0 g cm⁻³. As for the space group: F-43m (216).

The structure in POSCAR format:
```
PrDyLuMg
1.0
7.8261 0.0000 0.0000
0.0000 7.8261 0.0000
0.0000 0.0000 7.8261
Pr Dy Lu Mg
4 4 4 4
direct
0.0000 0.0000 0.0000
0.0000 0.5000 0.5000
0.5000 0.0000 0.5000
0.5000 0.5000 0.0000
0.0000 0.0000 0.5000
0.0000 0.5000 0.0000
0.5000 0.0000 0.0000
0.5000 0.5000 0.5000
0.2500 0.2500 0.7500
0.2500 0.7500 0.2500
0.7500 0.2500 0.2500
0.7500 0.7500 0.7500
0.2500 0.2500 0.2500
0.2500 0.7500 0.7500
0.7500 0.2500 0.7500
0.7500 0.7500 0.2500
```